## Li3Er3InSe8 (PBE)

Data for crystalline Li3Er3InSe8 at its relaxed geometry.

abc: 7.9338 7.9338 7.9338
angles: 60.90 60.90 60.90
Closest atoms and distances in Å follow each position.
Fractional positions:
Li 0.0000 0.5000 0.5000  6 Se 2.80-2.81
Li 0.5000 0.0000 0.5000  6 Se 2.80-2.81
Li 0.5000 0.5000 0.0000  6 Se 2.80-2.81
Er 0.0000 0.0000 0.5000  6 Se 2.83-2.85
Er 0.0000 0.5000 0.0000  6 Se 2.83-2.85
Er 0.5000 0.0000 0.0000  6 Se 2.83-2.85
In 0.5000 0.5000 0.5000  6 Se 2.80
Se 0.2509 0.2509 0.2509  3 Li 2.81, 3 Er 2.83
Se 0.2519 0.2519 0.7442  2 Li 2.80, 1 In 2.80, 2 Er 2.85
Se 0.2519 0.7441 0.2519  2 Li 2.80, 1 In 2.80, 2 Er 2.85
Se 0.2558 0.7481 0.7481  2 Li 2.80, 1 In 2.80, 2 Er 2.85
Se 0.7442 0.2519 0.2519  2 Li 2.80, 1 In 2.80, 2 Er 2.85
Se 0.7481 0.2558 0.7481  2 Li 2.80, 1 In 2.80, 2 Er 2.85
Se 0.7481 0.7481 0.2558  2 Li 2.80, 1 In 2.80, 2 Er 2.85
Se 0.7491 0.7491 0.7491  3 Li 2.81, 3 Er 2.83

## Properties
uncorrected energy: -70.7 eV for the cell shown
crystal system: trigonal
space-group type: No. 166
formation energy from raw total energies: -20.639 eV/f.u.